# 1
PmPrC: relaxed, PBE.

```
PmPrC
1.0
3.681 0.000 0.000
-1.840 3.188 0.000
0.000 0.000 6.678
Pm Pr C
1 1 1
Direct
0.000 0.000 0.000
0.667 0.333 0.576
0.333 0.667 0.796
```

The calculation puts the raw total energy at -6.36 eV per atom. Its density of states at the Fermi level is 2.1 states/eV/cell. The value obtained for the energy above the most stable polymorph in this dataset is 0.05 kcal/mol of atoms. For the calculated volume, the calculation gives 26.12 A^3/atom. Its space group is P3m1, No. 156. For the formation energy, the calculation gives -0.105 eV per atom.


# 2
RbPIr2: relaxed, PBE.

```
RbPIr2
1.0
4.856 0.000 0.000
0.000 6.643 0.000
2.427 0.851 6.354
Rb P Ir
2 2 4
Direct
0.000 0.000 0.000
0.436 0.500 0.000
0.410 0.808 0.461
0.871 0.196 0.539
0.113 0.468 0.548
0.448 0.139 0.483
0.660 0.535 0.453
0.931 0.865 0.517
```

The calculation puts the raw total energy at -6.21 eV per atom. Its density of states at the Fermi level is 2.0 states/eV/cell. For the calculated volume, the calculation gives 25.62 A^3/atom. Its space group is P1, No. 1. For the formation energy, the calculation gives -0.188 eV per atom.